DFT (PBE) results for an optimized crystal structure of MgAlB14.

Properties
ΔH_f (0 K)	-88.6	meV/atom
calculated volume	7.768	Å³ per atom
density	2.71	Mg/m³

extended XYZ file:
```
32
Lattice="-2.7463 2.5682 4.5640 -7.1849 0.2070 -0.6091 -3.1751 -4.6327 4.5271" Properties=species:S:1:pos:R:3 pbc="T T T"
B -8.3574 2.0113 4.1057
B -4.1418 1.5536 4.2951
B -7.9043 -0.7081 3.3038
B -7.6971 -2.2470 4.2944
B -2.4977 1.1489 3.6262
B -6.4306 0.0425 5.6541
B -6.4901 0.2651 1.0024
B -6.6757 -1.9000 2.8279
B -7.1708 0.7135 4.1714
B -2.0370 -0.3240 2.7874
B -12.0028 -1.7026 7.1729
Al -1.5875 -2.3163 2.2635
B -6.8145 -1.7490 5.7714
B -5.2019 -1.1494 5.1782
B -1.1034 -0.1549 1.3091
B -11.0693 -1.5335 5.6946
B -5.4092 0.3895 4.1876
B -10.6086 -3.0064 4.8558
B -4.7489 -3.8688 4.3763
B -3.5768 -1.7385 2.6568
B -9.9069 1.3357 4.7795
B -6.2918 -0.1085 2.7106
Mg -3.8853 0.2703 1.3408
B -5.9355 -2.5709 4.3106
Al -2.9607 -1.0323 4.5455
B -6.6162 -2.1226 7.4795
B -8.0277 -0.6357 5.0747
B -3.1993 -3.1932 3.7025
B -8.9645 -3.4111 4.1869
Mg -9.2210 -2.1278 7.1412
B -5.0786 -1.2218 3.4073
B -9.5294 -0.1190 5.8252
```